DFT (GGA-PBE) results for an optimized crystal structure of Tb15PmSm4.

It has space group P4/mmm (No. 123), with a = 5.063 Å, b = 5.063 Å, c = 25.288 Å, α = 90.00°, β = 90.00° and γ = 90.00°. The distinct sites, in fractional coordinates, are Tb at (0.000, 0.000, 0.000), Tb at (0.000, 0.000, 0.200), Tb at (0.000, 0.000, 0.400), Tb at (0.000, 0.500, 0.100), Tb at (0.000, 0.500, 0.300), Tb at (0.000, 0.500, 0.500), Pm at (0.500, 0.500, 0.000), Sm at (0.500, 0.500, 0.200) and Sm at (0.500, 0.500, 0.400).

The formation energy comes out at 0.02 eV/atom.

=====

DFT (GGA-PBE) results for an optimized crystal structure of Tb7Pm2Sm3.

It has space group P2/m (No. 10), with a = 6.408 Å, b = 3.565 Å, c = 17.394 Å, α = 90.00°, β = 90.02° and γ = 90.00°. The distinct sites, in fractional coordinates, are Tb at (0.000, 0.000, 0.000), Tb at (0.173, 0.500, 0.165), Tb at (0.244, 0.500, 0.500), Tb at (0.325, 0.000, 0.836), Pm at (0.493, 0.500, 0.673), Sm at (0.001, 0.000, 0.340) and Sm at (0.500, 0.500, 0.000).

The formation energy comes out at 0.07 eV/atom.